# TbHoHf, relaxed, DFT GGA-PBE
# Energy above the most stable polymorph in this dataset, meV per atom: 0.0
# Symmetry: F-43m, No. 216
# Energy of formation, meV per atom: 855
# E_tot, eV/cell: -16.6
data_TbHoHf
_cell_length_a 5.172
_cell_length_b 5.172
_cell_length_c 5.172
_cell_angle_alpha 60.00
_cell_angle_beta 60.00
_cell_angle_gamma 60.00
_space_group_name_H-M_alt 'P 1'
_space_group_IT_number 1
loop_
_space_group_symop_operation_xyz
'x,y,z'
loop_
_atom_site_label
_atom_site_type_symbol
_atom_site_fract_x
_atom_site_fract_y
_atom_site_fract_z
Tb1 Tb 0.750 0.750 0.750
Ho1 Ho 0.250 0.250 0.250
Hf1 Hf 0.000 0.000 0.000


# HoHfTlTe3, relaxed, DFT GGA-PBE
# Symmetry: Cmcm, No. 63
# E_tot, eV/cell: -61.5
data_HoHfTlTe3
_cell_length_a 8.004
_cell_length_b 8.004
_cell_length_c 11.686
_cell_angle_alpha 90.00
_cell_angle_beta 90.00
_cell_angle_gamma 150.07
_space_group_name_H-M_alt 'P 1'
_space_group_IT_number 1
loop_
_space_group_symop_operation_xyz
'x,y,z'
loop_
_atom_site_label
_atom_site_type_symbol
_atom_site_fract_x
_atom_site_fract_y
_atom_site_fract_z
Te1 Te 0.857 0.143 0.467
Te2 Te 0.565 0.435 0.250
Te3 Te 0.435 0.565 0.750
Te4 Te 0.143 0.857 0.533
Te5 Te 0.857 0.143 0.033
Te6 Te 0.143 0.857 0.967
Tl1 Tl 0.264 0.736 0.250
Tl2 Tl 0.736 0.264 0.750
Hf1 Hf 0.935 0.065 0.250
Hf2 Hf 0.065 0.935 0.750
Ho1 Ho 0.500 0.500 0.000
Ho2 Ho 0.500 0.500 0.500


# HoHfTh, relaxed, DFT GGA-PBE
# Energy above the most stable polymorph in this dataset, meV per atom: 0.0
# Symmetry: F-43m, No. 216
# Energy of formation, meV per atom: 764
# E_tot, eV/cell: -19.7
data_HoHfTh
_cell_length_a 5.168
_cell_length_b 5.168
_cell_length_c 5.168
_cell_angle_alpha 60.00
_cell_angle_beta 60.00
_cell_angle_gamma 60.00
_space_group_name_H-M_alt 'P 1'
_space_group_IT_number 1
loop_
_space_group_symop_operation_xyz
'x,y,z'
loop_
_atom_site_label
_atom_site_type_symbol
_atom_site_fract_x
_atom_site_fract_y
_atom_site_fract_z
Th1 Th 0.750 0.750 0.750
Hf1 Hf 0.000 0.000 0.000
Ho1 Ho 0.250 0.250 0.250


# HoTmHf, relaxed, DFT GGA-PBE
# Energy above the most stable polymorph in this dataset, meV per atom: 0.0
# Symmetry: F-43m, No. 216
# Energy of formation, meV per atom: 856
# E_tot, eV/cell: -16.4
data_HoTmHf
_cell_length_a 5.143
_cell_length_b 5.143
_cell_length_c 5.143
_cell_angle_alpha 60.00
_cell_angle_beta 60.00
_cell_angle_gamma 60.00
_space_group_name_H-M_alt 'P 1'
_space_group_IT_number 1
loop_
_space_group_symop_operation_xyz
'x,y,z'
loop_
_atom_site_label
_atom_site_type_symbol
_atom_site_fract_x
_atom_site_fract_y
_atom_site_fract_z
Tm1 Tm 0.750 0.750 0.750
Hf1 Hf 0.000 0.000 0.000
Ho1 Ho 0.250 0.250 0.250


# HoHfU, relaxed, DFT GGA-PBE
# Energy above the most stable polymorph in this dataset, meV per atom: 0.0
# Symmetry: F-43m, No. 216
# Energy of formation, meV per atom: 1162
# E_tot, eV/cell: -22.3
data_HoHfU
_cell_length_a 4.932
_cell_length_b 4.932
_cell_length_c 4.932
_cell_angle_alpha 60.00
_cell_angle_beta 60.00
_cell_angle_gamma 60.00
_space_group_name_H-M_alt 'P 1'
_space_group_IT_number 1
loop_
_space_group_symop_operation_xyz
'x,y,z'
loop_
_atom_site_label
_atom_site_type_symbol
_atom_site_fract_x
_atom_site_fract_y
_atom_site_fract_z
U1 U 0.750 0.750 0.750
Hf1 Hf 0.000 0.000 0.000
Ho1 Ho 0.250 0.250 0.250


# HoHfW, relaxed, DFT GGA-PBE
# Symmetry: F-43m, No. 216
# Energy of formation, meV per atom: 708
# E_tot, eV/cell: -25.4
data_HoHfW
_cell_length_a 4.685
_cell_length_b 4.685
_cell_length_c 4.685
_cell_angle_alpha 60.00
_cell_angle_beta 60.00
_cell_angle_gamma 60.00
_space_group_name_H-M_alt 'P 1'
_space_group_IT_number 1
loop_
_space_group_symop_operation_xyz
'x,y,z'
loop_
_atom_site_label
_atom_site_type_symbol
_atom_site_fract_x
_atom_site_fract_y
_atom_site_fract_z
W1 W 0.000 0.000 0.000
Hf1 Hf 0.250 0.250 0.250
Ho1 Ho 0.750 0.750 0.750


# YHoHf, relaxed, DFT GGA-PBE
# Energy above the most stable polymorph in this dataset, meV per atom: 0.0
# Symmetry: F-43m, No. 216
# Energy of formation, meV per atom: 869
# E_tot, eV/cell: -18.4
data_YHoHf
_cell_length_a 5.178
_cell_length_b 5.178
_cell_length_c 5.178
_cell_angle_alpha 60.00
_cell_angle_beta 60.00
_cell_angle_gamma 60.00
_space_group_name_H-M_alt 'P 1'
_space_group_IT_number 1
loop_
_space_group_symop_operation_xyz
'x,y,z'
loop_
_atom_site_label
_atom_site_type_symbol
_atom_site_fract_x
_atom_site_fract_y
_atom_site_fract_z
Ho1 Ho 0.250 0.250 0.250
Hf1 Hf 0.000 0.000 0.000
Y1 Y 0.750 0.750 0.750


# HfI, relaxed, DFT GGA-PBE
# Symmetry: Fm-3m, No. 225
# E_tot, eV/cell: -9.9
data_HfI
_cell_length_a 4.186
_cell_length_b 4.186
_cell_length_c 4.186
_cell_angle_alpha 60.00
_cell_angle_beta 60.00
_cell_angle_gamma 60.00
_space_group_name_H-M_alt 'P 1'
_space_group_IT_number 1
loop_
_space_group_symop_operation_xyz
'x,y,z'
loop_
_atom_site_label
_atom_site_type_symbol
_atom_site_fract_x
_atom_site_fract_y
_atom_site_fract_z
Hf1 Hf 0.000 0.000 0.000
I1 I 0.500 0.500 0.500


# Hf2I, relaxed, DFT GGA-PBE
# Energy above the most stable polymorph in this dataset, meV per atom: 407.2
# Symmetry: P4_2/mnm, No. 136
# E_tot, eV/cell: -36.3
data_Hf2I
_cell_length_a 5.914
_cell_length_b 5.914
_cell_length_c 4.738
_cell_angle_alpha 90.00
_cell_angle_beta 90.00
_cell_angle_gamma 90.00
_space_group_name_H-M_alt 'P 1'
_space_group_IT_number 1
loop_
_space_group_symop_operation_xyz
'x,y,z'
loop_
_atom_site_label
_atom_site_type_symbol
_atom_site_fract_x
_atom_site_fract_y
_atom_site_fract_z
Hf1 Hf 0.180 0.820 0.500
Hf2 Hf 0.820 0.180 0.500
Hf3 Hf 0.680 0.680 0.000
Hf4 Hf 0.320 0.320 0.000
I1 I 0.500 0.500 0.500
I2 I 0.000 0.000 0.000


# HfI, relaxed, DFT GGA-PBE
# Symmetry: F-43m, No. 216
# E_tot, eV/cell: -9.5
data_HfI
_cell_length_a 4.574
_cell_length_b 4.574
_cell_length_c 4.574
_cell_angle_alpha 60.00
_cell_angle_beta 60.00
_cell_angle_gamma 60.00
_space_group_name_H-M_alt 'P 1'
_space_group_IT_number 1
loop_
_space_group_symop_operation_xyz
'x,y,z'
loop_
_atom_site_label
_atom_site_type_symbol
_atom_site_fract_x
_atom_site_fract_y
_atom_site_fract_z
I1 I 0.250 0.250 0.250
Hf1 Hf 0.000 0.000 0.000


# HfI, relaxed, DFT GGA-PBE
# Symmetry: P-6m2, No. 187
# E_tot, eV/cell: -11.1
data_HfI
_cell_length_a 3.488
_cell_length_b 3.488
_cell_length_c 4.639
_cell_angle_alpha 90.00
_cell_angle_beta 90.00
_cell_angle_gamma 120.00
_space_group_name_H-M_alt 'P 1'
_space_group_IT_number 1
loop_
_space_group_symop_operation_xyz
'x,y,z'
loop_
_atom_site_label
_atom_site_type_symbol
_atom_site_fract_x
_atom_site_fract_y
_atom_site_fract_z
Hf1 Hf 0.667 0.333 0.750
I1 I 0.333 0.667 0.250


# Hf2I, relaxed, DFT GGA-PBE
# Energy above the most stable polymorph in this dataset, meV per atom: 0.0
# Symmetry: Fd-3m, No. 227
# E_tot, eV/cell: -38.7
data_Hf2I
_cell_length_a 6.038
_cell_length_b 6.038
_cell_length_c 6.038
_cell_angle_alpha 60.00
_cell_angle_beta 60.00
_cell_angle_gamma 60.00
_space_group_name_H-M_alt 'P 1'
_space_group_IT_number 1
loop_
_space_group_symop_operation_xyz
'x,y,z'
loop_
_atom_site_label
_atom_site_type_symbol
_atom_site_fract_x
_atom_site_fract_y
_atom_site_fract_z
I1 I 0.000 0.000 0.000
I2 I 0.250 0.250 0.250
Hf1 Hf 0.125 0.625 0.625
Hf2 Hf 0.625 0.625 0.125
Hf3 Hf 0.625 0.625 0.625
Hf4 Hf 0.625 0.125 0.625